No. 1
## Mn2AsSe (PBE-GGA)

Data for a relaxed structure of Mn2AsSe.

Computed properties:
E_form (uncorrected): 49 meV per atom
magnetization: 1.51 μB/atom
density: 7.103 g/cm3

CIF file:
```
data_Mn2AsSe
_chemical_formula_sum 'Mn2 As1 Se1'
_space_group_name_H-M_alt 'P 4/m m m'
_space_group_IT_number 123
_space_group_name_Hall '-P 4 2'
_cell_length_a 4.444
_cell_length_b 4.444
_cell_length_c 3.122
_cell_angle_alpha 90.00
_cell_angle_beta 90.00
_cell_angle_gamma 90.00
loop_
_atom_site_label
_atom_site_type_symbol
_atom_site_fract_x
_atom_site_fract_y
_atom_site_fract_z
Mn1 Mn 0.000 0.500 0.000
As1 As 0.000 0.000 0.500
Se1 Se 0.500 0.500 0.500
```

---

No. 2
## TlFe2I6 (PBE-GGA)

Data for a relaxed structure of TlFe2I6.

Computed properties:
E_form (uncorrected): -252 meV per atom
magnetization: 1.00 μB/atom
density: 4.321 g/cm3

CIF file:
```
data_TlFe2I6
_chemical_formula_sum 'Tl4 Fe8 I24'
_space_group_name_H-M_alt 'C 1 2/c 1'
_space_group_IT_number 15
_cell_length_a 15.241
_cell_length_b 14.828
_cell_length_c 7.444
_cell_angle_alpha 90.00
_cell_angle_beta 100.06
_cell_angle_gamma 90.00
loop_
_space_group_symop_operation_xyz
'x,y,z'
'-x,-y,-z'
'-x,y,-z+1/2'
'x,-y,z+1/2'
'x+1/2,y+1/2,z'
'-x+1/2,-y+1/2,-z'
'-x+1/2,y+1/2,-z+1/2'
'x+1/2,-y+1/2,z+1/2'
loop_
_atom_site_label
_atom_site_type_symbol
_atom_site_fract_x
_atom_site_fract_y
_atom_site_fract_z
Tl1 Tl 0.000 0.121 0.250
Fe1 Fe 0.202 0.425 0.275
I1 I 0.127 0.081 0.683
I2 I 0.130 0.289 0.101
I3 I 0.144 0.428 0.593
```

---

No. 3
## Tl3GeTe4 (PBE-GGA)

Data for a relaxed structure of Tl3GeTe4.

Computed properties:
energy above the lowest structure with this stoichiometry: 0.035 eV per atom
E_form (uncorrected): -132 meV per atom
magnetization: 0.00 μB/atom
density: 6.657 g/cm3

CIF file:
```
data_Tl3GeTe4
_chemical_formula_sum 'Tl6 Ge2 Te8'
_space_group_name_H-M_alt 'I m m 2'
_space_group_IT_number 44
_cell_length_a 6.630
_cell_length_b 12.979
_cell_length_c 6.936
_cell_angle_alpha 90.00
_cell_angle_beta 90.00
_cell_angle_gamma 90.00
loop_
_space_group_symop_operation_xyz
'x,y,z'
'-x,-y,z'
'-x,y,z'
'x,-y,z'
'x+1/2,y+1/2,z+1/2'
'-x+1/2,-y+1/2,z+1/2'
'-x+1/2,y+1/2,z+1/2'
'x+1/2,-y+1/2,z+1/2'
loop_
_atom_site_label
_atom_site_type_symbol
_atom_site_fract_x
_atom_site_fract_y
_atom_site_fract_z
Tl1 Tl 0.000 0.000 0.000
Tl2 Tl 0.000 0.279 0.082
Ge1 Ge 0.000 0.500 0.736
Te1 Te 0.000 0.326 0.561
Te2 Te 0.233 0.000 0.525
```

---

No. 4
## Pm3DySc3 (PBE-GGA)

Data for a relaxed structure of Pm3DySc3.

Computed properties:
energy above the lowest structure with this stoichiometry: 0.134 eV per atom
magnetization: 0.00 μB/atom
density: 5.644 g/cm3

CIF file:
```
data_Pm3DySc3
_chemical_formula_sum 'Pm18 Dy6 Sc18'
_space_group_name_H-M_alt 'R -3'
_space_group_IT_number 148
_space_group_name_Hall '-R 3'
_cell_length_a 8.3942
_cell_length_b 8.3942
_cell_length_c 21.1864
_cell_angle_alpha 90.00
_cell_angle_beta 90.00
_cell_angle_gamma 120.00
loop_
_atom_site_label
_atom_site_type_symbol
_atom_site_fract_x
_atom_site_fract_y
_atom_site_fract_z
Pm1 Pm 0.0455 0.5974 0.3824
Dy1 Dy 0.0000 0.0000 0.1553
Sc1 Sc 0.0051 0.7798 0.5560
```

---

No. 5
## NaAcSi (PBE-GGA)

Data for a relaxed structure of NaAcSi.

Computed properties:
energy above the lowest structure with this stoichiometry: 0.244 eV per atom
E_form (uncorrected): -83 meV per atom
magnetization: 0.00 μB/atom
density: 5.302 g/cm3

CIF file:
```
data_NaAcSi
_chemical_formula_sum 'Na1 Ac1 Si1'
_space_group_name_H-M_alt 'P 3 m 1'
_space_group_IT_number 156
_cell_length_a 4.9150
_cell_length_b 4.9150
_cell_length_c 4.1629
_cell_angle_alpha 90.00
_cell_angle_beta 90.00
_cell_angle_gamma 120.00
loop_
_space_group_symop_operation_xyz
'x,y,z'
'-y,x-y,z'
'-x+y,-x,z'
'-y,-x,z'
'-x+y,y,z'
'x,x-y,z'
loop_
_atom_site_label
_atom_site_type_symbol
_atom_site_fract_x
_atom_site_fract_y
_atom_site_fract_z
Na1 Na 0.0000 0.0000 0.0000
Ac1 Ac 0.3333 0.6667 0.4916
Si1 Si 0.6667 0.3333 0.8745
```

---

No. 6
## PmNd2Y5Er (PBE-GGA)

Data for a relaxed structure of PmNd2Y5Er.

Computed properties:
magnetization: 0.00 μB/atom
energy: -5.43 eV/atom
density: 5.812 g/cm3

CIF file:
```
data_PmNd2Y5Er
_chemical_formula_sum 'Pm4 Nd8 Y20 Er4'
_space_group_name_H-M_alt 'I 4/m c m'
_space_group_IT_number 140
_space_group_name_Hall '-I 4 2c'
_cell_length_a 8.753
_cell_length_b 8.753
_cell_length_c 15.592
_cell_angle_alpha 90.00
_cell_angle_beta 90.00
_cell_angle_gamma 90.00
loop_
_atom_site_label
_atom_site_type_symbol
_atom_site_fract_x
_atom_site_fract_y
_atom_site_fract_z
Pm1 Pm 0.000 0.000 0.250
Nd1 Nd 0.117 0.383 0.000
Y1 Y 0.000 0.000 0.000
Y2 Y 0.210 0.290 0.362
Er1 Er 0.000 0.500 0.250
```

---

Which formula does entry 1 have?
Mn2AsSe

---

What is the formula in the first record?
Mn2AsSe